DFT (PBE) results for crystalline Rb2TlGe2O6 at its relaxed geometry.

V = 421 Å³/cell
Total magnetic moment = 0.000 μB/f.u.
Uncorrected formation energy = -1.317 eV/atom
Calculated density = 4.9 Mg/m³

a b c (Å): 10.6869 6.1699 7.2809
angles (deg): 90.00 118.83 90.00
Closest atoms and distances in Å follow each position.
Space group C2/m (No. 12)
Inequivalent atoms, fractional coordinates:
Rb (0.2066, 0.0000, 0.1204) [4 per cell]  9 O 3.02-3.21
Tl (0.0000, 0.0000, 0.5000) [2 per cell]  6 O 2.40-2.41
Ge (0.0824, 0.5000, 0.2487) [4 per cell]  3 O 1.73
O (0.0035, 0.2579, 0.2551) [8 per cell]  1 Ge 1.73
O (0.2474, 0.5000, 0.2595) [4 per cell]  1 Ge 1.73